[1]
Here is crystalline TbSc2Cd at its relaxed geometry from the Alexandria database. Energies are from PBE.

Cell lengths 3.4144, 3.4144, 30.8437 Å; angles 90.00, 90.00, 120.00 degrees
Closest atoms and distances in Å follow each position.
Space group R3m (No. 160, hexagonal axes)
Inequivalent atoms, fractional coordinates:
Tb1 0.0000 0.0000 0.0000 (multiplicity 3)  6 Sc 3.38-3.40, 6 Tb 3.41
Sc1 0.0000 0.0000 0.2444 (multiplicity 3)  3 Cd 3.09, 3 Tb 3.38, 6 Sc 3.41
Sc2 0.0000 0.0000 0.4230 (multiplicity 3)  3 Cd 3.10, 3 Tb 3.40, 6 Sc 3.41
Cd1 0.0000 0.0000 0.8339 (multiplicity 3)  6 Sc 3.09-3.10, 6 Cd 3.41

***

[2]
Here is crystalline TbScCd3 at its relaxed geometry from the Alexandria database. Energies are from PBE.

Cell lengths 6.9806, 6.9806, 6.2281 Å; angles 90.00, 90.00, 120.00 degrees
Closest atoms and distances in Å follow each position.
Space group P6_3/mmc (No. 194)
Inequivalent atoms, fractional coordinates:
Tb1 0.3333 0.6667 0.2500 (multiplicity 2)  12 Cd 3.51
Sc1 0.0000 0.0000 0.0000 (multiplicity 2)  6 Cd 2.87, 2 Sc 3.11
Cd1 0.1989 0.3979 0.7500 (multiplicity 6)  2 Cd 2.81, 2 Sc 2.87

***

[3]
Here is crystalline Tb2Sc8Cd at its relaxed geometry from the Alexandria database. Energies are from PBE.

Cell lengths 14.8910, 6.1818, 6.3101 Å; angles 90.00, 101.86, 90.00 degrees
Closest atoms and distances in Å follow each position.
Space group C2/m (No. 12)
Inequivalent atoms, fractional coordinates:
Tb1 0.1862 0.0000 0.2923 (multiplicity 4)  9 Sc 3.20-3.55, 1 Cd 3.30
Sc1 0.0790 0.2607 0.8798 (multiplicity 8)  1 Cd 2.93, 6 Sc 2.96-3.27, 1 Tb 3.20
Sc2 0.0930 0.5000 0.4191 (multiplicity 4)  6 Sc 3.07-3.31, 1 Tb 3.42
Sc3 0.2453 0.0000 0.8152 (multiplicity 4)  5 Sc 3.05-3.27, 4 Tb 3.24-3.37
Cd1 0.0000 0.0000 0.5000 (multiplicity 2)  4 Sc 2.93

***

Number 1: E -4.58 eV per atom, calculated formation energy -0.028 eV per atom. Number 2: E -2.78 eV per atom, calculated formation energy -0.043 eV per atom. Number 3: E -5.43 eV per atom, calculated formation energy 0.097 eV per atom.